(1)
Compound: SrReP2
Source: the Alexandria database
Functional: GGA-PBE
Structure: relaxed

The structure in POSCAR format:
```
SrReP2
1.0
0.000 3.256 3.256
3.256 0.000 3.256
3.256 3.256 0.000
Sr Re P
1 1 2
direct
0.000 0.000 0.000
0.500 0.500 0.500
0.250 0.250 0.250
0.750 0.750 0.750
```

Properties
Total magnetization = 0.0 μB per formula unit
ρ = 8.1 g/cm³
Excess energy over the best structure of this formula in the dataset = 12.90 kcal/mol of atoms
DFT formation energy = 0.1363 eV/atom

(2)
Compound: Sr4ReP
Source: the Alexandria database
Functional: GGA-PBE
Structure: relaxed

The structure in POSCAR format:
```
Sr4ReP
1.0
0.000 4.616 4.616
4.616 0.000 4.616
4.616 4.616 0.000
Sr Re P
4 1 1
direct
0.376 0.376 0.376
0.376 0.376 0.873
0.376 0.873 0.376
0.873 0.376 0.376
0.750 0.750 0.750
0.000 0.000 0.000
```

Properties
Total magnetization = 1.9 μB per formula unit
ρ = 4.8 g/cm³
DFT formation energy = 1.2831 eV/atom

(3)
Compound: SrRe4P
Source: the Alexandria database
Functional: GGA-PBE
Structure: relaxed

The structure in POSCAR format:
```
SrRe4P
1.0
0.000 3.798 3.798
3.798 0.000 3.798
3.798 3.798 0.000
Sr Re P
1 4 1
direct
0.000 0.000 0.000
0.376 0.376 0.376
0.376 0.376 0.871
0.376 0.871 0.376
0.871 0.376 0.376
0.750 0.750 0.750
```

Properties
Total magnetization = 0.0 μB per formula unit
ρ = 13.1 g/cm³
DFT formation energy = 0.8034 eV/atom

(4)
Compound: SrReP2
Source: the Alexandria database
Functional: GGA-PBE
Structure: relaxed

The structure in POSCAR format:
```
SrReP2
1.0
1.588 0.917 8.484
-1.588 0.917 8.484
0.000 -1.834 8.484
Sr Re P
1 1 2
direct
0.000 0.000 0.000
0.772 0.772 0.772
0.235 0.235 0.235
0.500 0.500 0.500
```

Properties
Total magnetization = 0.0 μB per formula unit
ρ = 7.5 g/cm³
Excess energy over the best structure of this formula in the dataset = 20.49 kcal/mol of atoms
DFT formation energy = 0.4652 eV/atom

(5)
Compound: Sr2Re2P
Source: the Alexandria database
Functional: GGA-PBE
Structure: relaxed

The structure in POSCAR format:
```
Sr2Re2P
1.0
-1.791 1.791 9.581
1.791 -1.791 9.581
1.791 1.791 -9.581
Sr Re P
2 2 1
direct
0.097 0.097 0.000
0.903 0.903 0.000
0.250 0.750 0.500
0.750 0.250 0.500
0.500 0.500 0.000
```

Properties
Total magnetization = 0.0 μB per formula unit
ρ = 7.8 g/cm³
Excess energy over the best structure of this formula in the dataset = 0.00 kcal/mol of atoms
DFT formation energy = 0.1311 eV/atom

(6)
Compound: SrRe2P2
Source: the Alexandria database
Functional: GGA-PBE
Structure: relaxed

The structure in POSCAR format:
```
SrRe2P2
1.0
7.567 0.000 0.000
0.000 7.567 0.000
0.000 0.000 2.977
Sr Re P
2 4 4
direct
0.000 0.000 0.000
0.500 0.500 0.000
0.127 0.373 0.500
0.373 0.873 0.500
0.627 0.127 0.500
0.873 0.627 0.500
0.136 0.636 0.000
0.364 0.136 0.000
0.636 0.864 0.000
0.864 0.364 0.000
```

Properties
Total magnetization = 0.0 μB per formula unit
ρ = 10.2 g/cm³
DFT formation energy = 0.1749 eV/atom

(7)
Compound: SrReP2
Source: the Alexandria database
Functional: GGA-PBE
Structure: relaxed

The structure in POSCAR format:
```
SrReP2
1.0
-2.037 2.967 3.554
2.037 -2.967 3.554
2.037 2.967 -3.554
Sr Re P
1 1 2
direct
0.000 0.000 0.000
0.500 0.500 0.000
0.334 0.834 0.500
0.666 0.166 0.500
```

Properties
Total magnetization = 0.0 μB per formula unit
ρ = 6.5 g/cm³
Excess energy over the best structure of this formula in the dataset = 6.95 kcal/mol of atoms
DFT formation energy = -0.1217 eV/atom

(8)
Compound: SrReP3
Source: the Alexandria database
Functional: GGA-PBE
Structure: relaxed

The structure in POSCAR format:
```
SrReP3
1.0
4.739 0.000 0.000
0.000 4.739 0.000
0.000 0.000 4.739
Sr Re P
1 1 3
direct
0.000 0.000 0.000
0.500 0.500 0.500
0.000 0.500 0.500
0.500 0.000 0.500
0.500 0.500 0.000
```

Properties
Total magnetization = 0.0 μB per formula unit
ρ = 5.7 g/cm³
Excess energy over the best structure of this formula in the dataset = 0.00 kcal/mol of atoms
DFT formation energy = -0.0863 eV/atom

(9)
Compound: SrReP
Source: the Alexandria database
Functional: GGA-PBE
Structure: relaxed

The structure in POSCAR format:
```
SrReP
1.0
4.004 0.000 0.000
-2.002 3.468 0.000
0.000 0.000 4.939
Sr Re P
1 1 1
direct
0.000 0.000 0.000
0.333 0.667 0.500
0.667 0.333 0.500
```

Properties
Total magnetization = 0.0 μB per formula unit
ρ = 7.4 g/cm³
Excess energy over the best structure of this formula in the dataset = 0.00 kcal/mol of atoms
DFT formation energy = -0.2465 eV/atom

(10)
Compound: SrReP2
Source: the Alexandria database
Functional: GGA-PBE
Structure: relaxed

The structure in POSCAR format:
```
SrReP2
1.0
3.619 -1.698 0.000
3.619 1.698 0.000
-1.646 0.000 6.315
Sr Re P
1 1 2
direct
0.000 0.000 0.000
0.500 0.500 0.500
0.232 0.232 0.675
0.768 0.768 0.325
```

Properties
Total magnetization = 0.0 μB per formula unit
ρ = 7.2 g/cm³
Excess energy over the best structure of this formula in the dataset = 0.00 kcal/mol of atoms
DFT formation energy = -0.4231 eV/atom

(11)
Compound: SrReP2
Source: the Alexandria database
Functional: GGA-PBE
Structure: relaxed

The structure in POSCAR format:
```
SrReP2
1.0
-1.607 1.702 7.031
1.607 -1.702 7.031
1.607 1.702 -7.031
Sr Re P
1 1 2
direct
0.000 0.000 0.000
0.754 0.254 0.500
0.324 0.824 0.500
0.629 0.629 0.000
```

Properties
Total magnetization = 0.0 μB per formula unit
ρ = 7.2 g/cm³
Excess energy over the best structure of this formula in the dataset = 3.08 kcal/mol of atoms
DFT formation energy = -0.2893 eV/atom

(12)
Compound: SrReP
Source: the Alexandria database
Functional: GGA-PBE
Structure: relaxed

The structure in POSCAR format:
```
SrReP
1.0
-1.613 1.613 5.665
1.613 -1.613 5.665
1.613 1.613 -5.665
Sr Re P
1 1 1
direct
0.000 0.000 0.000
0.289 0.289 0.000
0.708 0.708 0.000
```

Properties
Total magnetization = 0.0 μB per formula unit
ρ = 8.6 g/cm³
Excess energy over the best structure of this formula in the dataset = 2.40 kcal/mol of atoms
DFT formation energy = -0.1423 eV/atom

(13)
Compound: SrReP2
Source: the Alexandria database
Functional: GGA-PBE
Structure: relaxed

The structure in POSCAR format:
```
SrReP2
1.0
-2.991 2.991 6.009
2.991 -2.991 6.009
2.991 2.991 -6.009
Sr Re P
2 2 4
direct
0.000 0.000 0.000
0.750 0.250 0.500
0.250 0.750 0.500
0.500 0.500 0.000
0.243 0.625 0.118
0.375 0.493 0.618
0.507 0.125 0.882
0.875 0.757 0.382
```

Properties
Total magnetization = 0.0 μB per formula unit
ρ = 5.2 g/cm³
Excess energy over the best structure of this formula in the dataset = 2.26 kcal/mol of atoms
DFT formation energy = -0.3251 eV/atom

(14)
Compound: SrReP3
Source: the Alexandria database
Functional: GGA-PBE
Structure: relaxed

The structure in POSCAR format:
```
SrReP3
1.0
5.063 0.000 0.000
0.000 5.063 0.000
0.000 0.000 5.063
Sr Re P
1 1 3
direct
0.000 0.000 0.000
0.500 0.500 0.500
0.000 0.000 0.500
0.000 0.500 0.000
0.500 0.000 0.000
```

Properties
Total magnetization = 0.0 μB per formula unit
ρ = 4.7 g/cm³
Excess energy over the best structure of this formula in the dataset = 61.77 kcal/mol of atoms
DFT formation energy = 2.5924 eV/atom

(15)
Compound: Sr2RePW
Source: the Alexandria database
Functional: GGA-PBE
Structure: relaxed

The structure in POSCAR format:
```
Sr2RePW
1.0
5.915 0.000 0.000
0.000 5.915 0.000
0.000 0.000 4.612
Sr Re P W
2 1 1 1
direct
0.000 0.500 0.000
0.500 0.000 0.000
0.000 0.000 0.500
0.500 0.500 0.500
0.000 0.000 0.000
```

Properties
Total magnetization = 0.0 μB per formula unit
ρ = 5.9 g/cm³
DFT formation energy = 1.3572 eV/atom

(16)
Compound: TaReP2
Source: the Alexandria database
Functional: GGA-PBE
Structure: relaxed

The structure in POSCAR format:
```
TaReP2
1.0
-1.628 1.629 5.653
1.628 -1.629 5.653
1.628 1.629 -5.653
Ta Re P
1 1 2
direct
0.000 0.000 0.000
0.751 0.251 0.500
0.330 0.830 0.500
0.586 0.586 0.000
```

Properties
Total magnetization = 0.0 μB per formula unit
ρ = 11.9 g/cm³
Excess energy over the best structure of this formula in the dataset = 0.00 kcal/mol of atoms
DFT formation energy = -0.5103 eV/atom

(17)
Compound: TaReP2
Source: the Alexandria database
Functional: GGA-PBE
Structure: relaxed

The structure in POSCAR format:
```
TaReP2
1.0
-1.545 2.507 3.910
1.545 -2.507 3.910
1.545 2.507 -3.910
Ta Re P
1 1 2
direct
0.000 0.000 0.000
0.500 0.500 0.000
0.264 0.764 0.500
0.736 0.236 0.500
```

Properties
Total magnetization = 0.0 μB per formula unit
ρ = 11.8 g/cm³
Excess energy over the best structure of this formula in the dataset = 14.99 kcal/mol of atoms
DFT formation energy = 0.1398 eV/atom

(18)
Compound: TaReP
Source: the Alexandria database
Functional: GGA-PBE
Structure: relaxed

The structure in POSCAR format:
```
TaReP
1.0
0.000 3.001 3.001
3.001 0.000 3.001
3.001 3.001 0.000
Ta Re P
1 1 1
direct
0.000 0.000 0.000
0.250 0.250 0.250
0.750 0.750 0.750
```

Properties
Total magnetization = 0.0 μB per formula unit
ρ = 12.2 g/cm³
Excess energy over the best structure of this formula in the dataset = 15.84 kcal/mol of atoms
DFT formation energy = 0.4016 eV/atom

(19)
Compound: Ta4Re2P
Source: the Alexandria database
Functional: GGA-PBE
Structure: relaxed

The structure in POSCAR format:
```
Ta4Re2P
1.0
-2.249 2.249 6.632
2.249 -2.249 6.632
2.249 2.249 -6.632
Ta Re P
4 2 1
direct
0.000 0.500 0.500
0.185 0.185 0.000
0.500 0.000 0.500
0.815 0.815 0.000
0.373 0.373 0.000
0.627 0.627 0.000
0.000 0.000 0.000
```

Properties
Total magnetization = 0.0 μB per formula unit
ρ = 13.9 g/cm³
DFT formation energy = 0.6437 eV/atom

(20)
Compound: Ta2ReP
Source: the Alexandria database
Functional: GGA-PBE
Structure: relaxed

The structure in POSCAR format:
```
Ta2ReP
1.0
-1.680 2.417 3.969
1.680 -2.417 3.969
1.680 2.417 -3.969
Ta Re P
2 1 1
direct
0.232 0.232 0.000
0.768 0.768 0.000
0.500 0.000 0.500
0.000 0.500 0.500
```

Properties
Total magnetization = 0.0 μB per formula unit
ρ = 14.9 g/cm³
Excess energy over the best structure of this formula in the dataset = 6.30 kcal/mol of atoms
DFT formation energy = -0.1656 eV/atom